BaTaTeI2: PBEsol geometry, meta-GGA SCAN.

Unit cell a=6.3291 b=6.3291 c=6.5674 alpha=90.00 beta=90.00 gamma=90.00
Fractional coordinates of all 5 atoms:
Ba  0.0000  0.0000  0.0000
Ta  0.5000  0.5000  0.5000
Te  0.0000  0.0000  0.5000
I  0.0000  0.5000  0.0000
I  0.5000  0.0000  0.0000

Values from the calculation:
- Spin magnetization: 3.0 μB per formula unit
- E_form (uncorrected): 0.7626 eV per atom
- Raw total energy: -42.61 eV/atom